A plane-wave DFT calculation with SCAN was carried out for YTaPt3 at its PBEsol-relaxed geometry.

a = 4.830 Å, b = 4.830 Å, c = 4.830 Å
α = 90.00°, β = 90.00°, γ = 90.00°
Fractional positions:
1 Y 0.500 0.500 0.500
2 Pt 0.000 0.500 0.000
3 Pt 0.000 0.000 0.500
4 Pt 0.500 0.000 0.000
5 Ta 0.000 0.000 0.000

Summary:
ΔH_f (0 K) (eV/atom): -0.192
Magnetic moment (μB per cell): 0.000
Uncorrected energy (eV per cell): -305.96
Space group: Pm-3m

***

A plane-wave DFT calculation with SCAN was carried out for Sc2SiRh at its PBEsol-relaxed geometry.

a = 2.999 Å, b = 2.999 Å, c = 7.679 Å
α = 90.00°, β = 90.00°, γ = 90.00°
Last column: magnetic moment on the atom in μB.
Fractional positions:
1 Rh 0.500 0.500 0.708  0.01
2 Sc 0.000 0.000 0.952  0.06
3 Sc 0.500 0.500 0.297  0.24
4 Si 0.000 0.000 0.542  0.00

Summary:
Magnetic moment (μB per cell): 0.454
Uncorrected energy (eV per cell): -74.97
Space group: P4mm

***

A plane-wave DFT calculation with SCAN was carried out for Sb2RuS at its PBEsol-relaxed geometry.

a = 6.147 Å, b = 6.147 Å, c = 7.079 Å
α = 115.73°, β = 115.73°, γ = 90.00°
Fractional positions:
1 Sb 0.344 0.875 0.250
2 Sb 0.906 0.375 0.250
3 Sb 0.125 0.094 0.750
4 Sb 0.625 0.656 0.750
5 S 0.750 0.250 0.500
6 S 0.500 0.500 0.000
7 Ru 0.250 0.750 0.500
8 Ru 0.000 0.000 0.000

Summary:
Magnetic moment (μB per cell): 0.000
Uncorrected energy (eV per cell): -236.02
Space group: I-42d

***

A plane-wave DFT calculation with SCAN was carried out for Cd2C at its PBEsol-relaxed geometry.

a = 3.217 Å, b = 5.524 Å, c = 6.534 Å
α = 84.64°, β = 75.75°, γ = 73.07°
Fractional positions:
1 C 0.587 0.651 0.175
2 C 0.413 0.349 0.825
3 Cd 0.895 0.877 0.334
4 Cd 0.245 0.325 0.185
5 Cd 0.755 0.675 0.815
6 Cd 0.105 0.123 0.666

Summary:
ΔH_f (0 K) (eV/atom): 1.309
Relative energy among the computed polymorphs (kJ/mol of atoms): 10.5
Magnetic moment (μB per cell): 0.000
Uncorrected energy (eV per cell): -134.00
Space group: C2/m

***

A plane-wave DFT calculation with SCAN was carried out for Sm2Sn2O7 at its PBEsol-relaxed geometry.

a = 7.430 Å, b = 7.430 Å, c = 7.430 Å
α = 60.00°, β = 60.00°, γ = 60.00°
Fractional positions:
1 Sm 0.125 0.625 0.625
2 Sm 0.625 0.625 0.625
3 Sm 0.625 0.125 0.625
4 Sm 0.625 0.625 0.125
5 Sn 0.625 0.125 0.125
6 Sn 0.125 0.125 0.125
7 Sn 0.125 0.625 0.125
8 Sn 0.125 0.125 0.625
9 O 0.500 0.500 0.500
10 O 0.750 0.750 0.750
11 O 0.212 0.212 0.788
12 O 0.462 0.462 0.038
13 O 0.788 0.212 0.788
14 O 0.212 0.788 0.788
15 O 0.788 0.212 0.212
16 O 0.212 0.788 0.212
17 O 0.788 0.788 0.212
18 O 0.462 0.038 0.038
19 O 0.038 0.462 0.462
20 O 0.038 0.038 0.462
21 O 0.038 0.462 0.038
22 O 0.462 0.038 0.462

Summary:
Magnetic moment (μB per cell): 0.000
Uncorrected energy (eV per cell): -470.51
Space group: Fd-3m

***

A plane-wave DFT calculation with SCAN was carried out for MoPRh2 at its PBEsol-relaxed geometry.

a = 2.825 Å, b = 4.363 Å, c = 4.373 Å
α = 90.00°, β = 90.00°, γ = 90.00°
Fractional positions:
1 Mo 0.500 0.000 0.500
2 P 0.000 0.500 0.500
3 Rh 0.000 0.000 0.000
4 Rh 0.500 0.500 0.000

Summary:
ΔH_f (0 K) (eV/atom): -0.107
Magnetic moment (μB per cell): 0.000
Uncorrected energy (eV per cell): -113.26
Space group: Pmmm

***

Which value of uncorrected energy does entry 4 give? -134.00 eV per cell

***

Look up the magnetic moment of the second one. 0.454 μB per cell

***

Which of these has the lowest uncorrected energy? Sm2Sn2O7